First-principles (PBE) data for crystalline Pa3Co7B2 at its relaxed geometry, as listed in Alexandria.

Properties
relative energy among the computed polymorphs	0	meV per atom
total magnetization	0.0	μB per formula unit
calculated formation energy	-0.4911	eV per atom

Structure (CIF):
```
data_Pa3Co7B2
_cell_length_a 5.0163
_cell_length_b 5.0163
_cell_length_c 21.1126
_cell_angle_alpha 90.00
_cell_angle_beta 90.00
_cell_angle_gamma 120.00
_symmetry_space_group_name_H-M 'R -3 m'
_symmetry_Int_Tables_number 166
_symmetry_space_group_name_Hall '-R 3 2"'
loop_
_atom_site_label
_atom_site_type_symbol
_atom_site_fract_x
_atom_site_fract_y
_atom_site_fract_z
_atom_site_occupancy
Pa1 Pa 0.0000 0.0000 0.0000 1
Pa2 Pa 0.0000 0.0000 0.1475 1
Co1 Co 0.0000 0.0000 0.5000 1
Co2 Co 0.0042 0.5021 0.0684 1
B1 B 0.0000 0.0000 0.3320 1
```